Crystalline PrGd2Mg3CdGa2 at its relaxed geometry, computed with PBE.

Geometry as POSCAR:
```
PrGd2Mg3CdGa2
1.0
-1.411 0.507 4.289
-3.838 -6.411 -0.505
7.114 0.007 2.340
Cd Ga Gd Mg Pr
1 2 2 3 1
direct
0.000 0.994 0.994 Cd
0.500 0.672 0.333 Ga
0.500 0.333 0.672 Ga
0.000 0.572 0.002 Gd
0.000 0.002 0.572 Gd
0.500 0.999 0.248 Mg
0.500 0.752 0.752 Mg
0.500 0.248 0.999 Mg
0.000 0.429 0.429 Pr
```

Summary:
Symmetry: Amm2
E_tot in eV/atom: -3.29
Calculated volume in Å³ per atom: 24.37

Crystalline Tb2HoIn3CuNi2 at its relaxed geometry, computed with PBE.

Geometry as POSCAR:
```
Tb2HoIn3CuNi2
1.0
-1.252 -0.358 -3.602
-6.236 -3.224 2.488
0.293 7.395 -0.836
Cu Ho In Ni Tb
1 1 3 2 2
direct
0.000 0.000 0.000 Cu
0.000 0.412 0.412 Ho
0.500 0.258 0.001 In
0.500 0.001 0.258 In
0.500 0.742 0.742 In
0.500 0.666 0.334 Ni
0.500 0.334 0.666 Ni
0.000 0.587 0.000 Tb
0.000 0.000 0.587 Tb
```

Summary:
Symmetry: Amm2
E_tot in eV/atom: -4.58
Calculated volume in Å³ per atom: 20.44

Crystalline NaZrAsO at its relaxed geometry, computed with PBE.

Geometry as POSCAR:
```
NaZrAsO
1.0
-3.908 1.935 2.999
-3.245 -0.075 -4.181
-1.351 -4.475 1.128
As Na O Zr
2 2 2 2
direct
0.000 0.500 0.498 As
0.500 0.000 0.502 As
0.500 0.000 0.001 Na
0.000 0.500 0.999 Na
0.000 0.000 0.000 O
0.500 0.500 0.000 O
0.000 0.000 0.500 Zr
0.500 0.500 0.500 Zr
```

Summary:
Symmetry: P4/nmm
Excess energy over the best structure of this formula in the dataset in eV per atom: 0.4642
Calculated volume in Å³ per atom: 16.84

Crystalline PrTmTlTe3 at its relaxed geometry, computed with PBE.

Geometry as POSCAR:
```
PrTmTlTe3
1.0
2.199 -7.701 0.000
2.199 7.701 0.000
0.000 0.000 12.210
Pr Te Tl Tm
2 6 2 2
direct
0.421 0.579 0.250 Pr
0.579 0.421 0.750 Pr
0.359 0.641 0.014 Te
0.063 0.937 0.250 Te
0.359 0.641 0.486 Te
0.641 0.359 0.514 Te
0.937 0.063 0.750 Te
0.641 0.359 0.986 Te
0.734 0.266 0.250 Tl
0.266 0.734 0.750 Tl
0.000 0.000 0.000 Tm
0.000 0.000 0.500 Tm
```

Summary:
Symmetry: Cmcm
Excess energy over the best structure of this formula in the dataset in eV per atom: 0.0492
Calculated volume in Å³ per atom: 34.46

Crystalline Na2Be2Hg3 at its relaxed geometry, computed with PBE.

Geometry as POSCAR:
```
Na2Be2Hg3
1.0
-6.766 3.516 3.516
-3.516 3.516 6.766
-3.516 6.766 3.516
Be Hg Na
2 3 2
direct
0.510 0.510 0.510 Be
0.985 0.985 0.985 Be
0.373 0.373 0.373 Hg
0.634 0.634 0.634 Hg
0.872 0.872 0.872 Hg
0.243 0.243 0.243 Na
0.758 0.758 0.758 Na
```

Summary:
Symmetry: R3m
E_tot in eV/atom: -1.25
Calculated volume in Å³ per atom: 20.83

Crystalline Cu7Ag3 at its relaxed geometry, computed with PBE.

Geometry as POSCAR:
```
Cu7Ag3
1.0
9.269 -1.372 0.000
9.269 1.372 0.000
-0.773 0.000 5.411
Ag Cu
3 7
direct
0.500 0.500 0.000 Ag
0.109 0.109 0.318 Ag
0.891 0.891 0.682 Ag
0.703 0.703 0.085 Cu
0.893 0.893 0.200 Cu
0.291 0.291 0.379 Cu
0.500 0.500 0.500 Cu
0.709 0.709 0.621 Cu
0.107 0.107 0.800 Cu
0.297 0.297 0.915 Cu
```

Summary:
Symmetry: C2/m
Excess energy over the best structure of this formula in the dataset in eV per atom: 0.0388
Calculated volume in Å³ per atom: 13.77

Crystalline RbMgAu at its relaxed geometry, computed with PBE.

Geometry as POSCAR:
```
RbMgAu
1.0
0.000 3.754 3.754
3.754 0.000 3.754
3.754 3.754 0.000
Au Mg Rb
1 1 1
direct
0.000 0.000 0.000 Au
0.250 0.250 0.250 Mg
0.750 0.750 0.750 Rb
```

Summary:
Symmetry: F-43m
Excess energy over the best structure of this formula in the dataset in eV per atom: 0.0000
Calculated volume in Å³ per atom: 35.27

Crystalline PrZnTe at its relaxed geometry, computed with PBE.

Geometry as POSCAR:
```
PrZnTe
1.0
-4.537 -1.822 -0.835
-3.981 2.319 1.837
-3.108 2.382 -3.045
Pr Te Zn
1 1 1
direct
0.250 0.250 0.250 Pr
0.750 0.750 0.750 Te
0.000 0.000 0.000 Zn
```

Summary:
Symmetry: F-43m
Excess energy over the best structure of this formula in the dataset in eV per atom: 0.0384
Calculated volume in Å³ per atom: 28.76

Crystalline YTlFeCo at its relaxed geometry, computed with PBE.

Geometry as POSCAR:
```
YTlFeCo
1.0
-2.367 2.235 3.370
-4.648 0.487 -0.330
-2.817 -2.402 2.872
Co Fe Tl Y
1 1 1 1
direct
0.500 0.500 0.500 Co
0.750 0.750 0.750 Fe
0.000 0.000 0.000 Tl
0.250 0.250 0.250 Y
```

Summary:
Symmetry: F-43m
Excess energy over the best structure of this formula in the dataset in eV per atom: 0.0680
Calculated volume in Å³ per atom: 18.18

Crystalline Cs2DyScTe4 at its relaxed geometry, computed with PBE.

Geometry as POSCAR:
```
Cs2DyScTe4
1.0
4.447 0.000 0.000
-2.224 3.851 0.000
0.000 0.000 17.732
Cs Dy Sc Te
2 1 1 4
direct
0.667 0.333 0.254 Cs
0.333 0.667 0.746 Cs
0.000 0.000 0.000 Dy
0.000 0.000 0.500 Sc
0.333 0.667 0.098 Te
0.333 0.667 0.412 Te
0.667 0.333 0.588 Te
0.667 0.333 0.902 Te
```

Summary:
Symmetry: P-3m1
E_tot in eV/atom: -4.46
Calculated volume in Å³ per atom: 37.96

Crystalline Cs2HfNiBr6 at its relaxed geometry, computed with PBE.

Geometry as POSCAR:
```
Cs2HfNiBr6
1.0
1.560 -6.160 -4.157
1.078 -6.703 3.401
-5.182 -5.503 -0.726
Br Cs Hf Ni
6 2 1 1
direct
0.751 0.249 0.249 Br
0.249 0.751 0.249 Br
0.751 0.751 0.249 Br
0.249 0.249 0.751 Br
0.751 0.249 0.751 Br
0.249 0.751 0.751 Br
0.250 0.250 0.250 Cs
0.750 0.750 0.750 Cs
0.000 0.000 0.000 Hf
0.500 0.500 0.500 Ni
```

Summary:
Symmetry: Fm-3m
E_tot in eV/atom: -3.89
Calculated volume in Å³ per atom: 30.96

Crystalline Zr2Pd3Cl at its relaxed geometry, computed with PBE.

Geometry as POSCAR:
```
Zr2Pd3Cl
1.0
3.477 0.000 0.000
-1.739 3.012 0.000
0.000 0.000 11.479
Cl Pd Zr
1 3 2
direct
0.000 0.000 0.500 Cl
0.000 0.000 0.000 Pd
0.333 0.667 0.325 Pd
0.667 0.333 0.675 Pd
0.667 0.333 0.172 Zr
0.333 0.667 0.828 Zr
```

Summary:
Symmetry: P-3m1
E_tot in eV/atom: -6.16
Calculated volume in Å³ per atom: 20.04